No. 1
Density functional theory data (PBE-GGA) for a geometry-optimized BaSe2Cl structure.

It has space group I-42d (No. 122), with a = 4.405 Å, b = 4.405 Å, c = 25.978 Å, α = 90.00°, β = 90.00° and γ = 90.00°. The asymmetric unit holds Ba at (0.000, 0.000, 0.000), Se at (0.143, 0.250, 0.625) and Cl at (0.000, 0.000, 0.500).

The total magnetization is 0.00 μB/cell. The value obtained for the raw formation energy is -1.2076 eV per atom. As for the total energy: -3.8922 eV per atom. The polymorph energy (0 for the lowest one) is 0.145 eV/atom. The value obtained for the density of states at the Fermi level is 4.8 states/eV per cell.

No. 2
Density functional theory data (PBE-GGA) for a geometry-optimized CdTc3 structure.

It has space group Pm-3m (No. 221), with a = 5.208 Å, b = 5.208 Å, c = 5.208 Å, α = 90.00°, β = 90.00° and γ = 90.00°. The asymmetric unit holds Cd at (0.000, 0.000, 0.000) and Tc at (0.000, 0.000, 0.500).

The total magnetization is 10.64 μB/cell. Its formation energy is 3.397 eV/atom. As for the total energy: -4.6064 eV per atom. The polymorph energy (0 for the lowest one) is 3.196 eV/atom. The value obtained for the density of states at the Fermi level is 8.0 states/eV per cell.

No. 3
Density functional theory data (PBE-GGA) for a geometry-optimized Cd12Hg6Bi structure.

It has space group R-3 (No. 148, hexagonal axes), with a = 12.2479 Å, b = 12.2479 Å, c = 11.4722 Å, α = 90.00°, β = 90.00° and γ = 120.00°. The asymmetric unit holds Cd at (0.0450, 0.1965, 0.4105), Cd at (0.0685, 0.2379, 0.1433), Hg at (0.0673, 0.2574, 0.7274) and Bi at (0.0000, 0.0000, 0.0000).

The total magnetization is 0.00 μB/cell. Its formation energy is 0.043 eV/atom. As for the total energy: -0.8350 eV per atom. The polymorph energy (0 for the lowest one) is 0.002 eV/atom. The value obtained for the density of states at the Fermi level is 22.7 states/eV per cell.

Computed values of calculated density (unit: g cm⁻³) for the preceding records, in sequence: 4.4, 4.8, 9.2.